The following is a DFT calculation (PBE-GGA) of a relaxed structure of CsMnSn2Ru.

## Properties
- E_form (eV/f.u.) = 3.66
- energy (eV per atom) = -4.73
- magnetization (μB/f.u.) = 1.14

Lattice parameters (Å, degrees): 5.1486 4.7429 5.1486 90.00 90.00 90.00
Last column: magnetic moment on the atom in μB.
Positions (direct):
Cs: 0.5000 0.5000 0.5000  -0.01
Sn: 0.0000 0.0000 0.5000  -0.02
Sn: 0.5000 0.0000 0.0000  -0.05
Ru: 0.0000 0.5000 0.0000  0.31
Mn: 0.0000 0.0000 0.0000  0.89

The following is a DFT calculation (PBE-GGA) of a relaxed structure of Li4CaGe4.

## Properties
- E_form (eV/f.u.) = -2.81
- energy (eV per atom) = -3.44
- magnetization (μB/f.u.) = 0.00

Lattice parameters (Å, degrees): 6.1605 6.1605 8.8824 90.00 90.00 90.00
Positions (direct):
Li: 0.5000 0.7565 0.0925
Li: 0.7435 0.0000 0.5925
Li: 0.0000 0.7435 0.4075
Li: 0.0000 0.2565 0.4075
Li: 0.5000 0.2435 0.0925
Li: 0.7565 0.5000 0.9075
Li: 0.2565 0.0000 0.5925
Li: 0.2435 0.5000 0.9075
Ge: 0.0000 0.2979 0.7069
Ge: 0.0000 0.7021 0.7069
Ge: 0.7979 0.5000 0.2069
Ge: 0.5000 0.7979 0.7931
Ge: 0.2021 0.5000 0.2069
Ge: 0.2979 0.0000 0.2931
Ge: 0.7021 0.0000 0.2931
Ge: 0.5000 0.2021 0.7931
Ca: 0.5000 0.5000 0.5000
Ca: 0.0000 0.0000 0.0000

The following is a DFT calculation (PBE-GGA) of a relaxed structure of PmZrPdPb.

## Properties
- E_form (eV/f.u.) = -1.43
- energy (eV per atom) = -5.91
- magnetization (μB/f.u.) = 1.28

Lattice parameters (Å, degrees): 5.1440 5.1440 5.1440 60.00 60.00 60.00
Last column: magnetic moment on the atom in μB.
Positions (direct):
Pb: 0.7500 0.7500 0.7500  -0.02
Zr: 0.0000 0.0000 0.0000  0.58
Pd: 0.2500 0.2500 0.2500  0.09
Pm: 0.5000 0.5000 0.5000  0.17

The following is a DFT calculation (PBE-GGA) of a relaxed structure of BaPa2SnS8.

## Properties
- energy (eV per atom) = -6.05
- magnetization (μB/f.u.) = 0.00
- E_form (uncorrected) (meV/atom) = -1225

Lattice parameters (Å, degrees): 6.3595 6.2362 8.4670 90.00 90.00 86.24
Positions (direct):
Sn: 0.0000 0.0000 0.0000
Pa: 0.5000 0.5000 0.2438
Pa: 0.5000 0.5000 0.7562
S: 0.6211 0.7122 0.5000
S: 0.3789 0.2878 0.5000
S: 0.8457 0.2538 0.2102
S: 0.3607 0.2690 0.0000
S: 0.1543 0.7462 0.2102
S: 0.1543 0.7462 0.7898
S: 0.8457 0.2538 0.7898
S: 0.6393 0.7310 0.0000
Ba: 0.0000 0.0000 0.5000

The following is a DFT calculation (PBE-GGA) of a relaxed structure of ReTe2Au.

## Properties
- energy (eV per atom) = -4.91
- magnetization (μB/f.u.) = 0.00
- E_form (uncorrected) (meV/atom) = 596

Lattice parameters (Å, degrees): 3.4864 2.8914 9.6643 107.34 90.00 90.00
Positions (direct):
Re: 0.5000 0.7500 0.7500
Te: 0.0000 0.5215 0.5223
Te: 0.0000 0.9785 0.9777
Au: 0.5000 0.2500 0.2500

The following is a DFT calculation (PBE-GGA) of a relaxed structure of Ac2CdGa4Ag3.

## Properties
- E_form (eV/f.u.) = -3.80
- energy (eV per atom) = -3.36
- magnetization (μB/f.u.) = 0.00

Lattice parameters (Å, degrees): 4.5850 4.5850 10.9821 90.00 90.00 90.00
Positions (direct):
Ga: 0.0000 0.5000 0.3611
Ga: 0.5000 0.0000 0.6389
Ga: 0.5000 0.5000 0.0000
Ga: 0.0000 0.0000 0.0000
Ag: 0.5000 0.0000 0.8747
Ag: 0.0000 0.5000 0.1253
Ag: 0.0000 0.0000 0.5000
Cd: 0.5000 0.5000 0.5000
Ac: 0.5000 0.0000 0.2454
Ac: 0.0000 0.5000 0.7546

The following is a DFT calculation (PBE-GGA) of a relaxed structure of Ac2Pa3N8.

## Properties
- energy (eV per atom) = -9.10
- magnetization (μB/f.u.) = 0.00
- E_form (uncorrected) (meV/atom) = -1153

Lattice parameters (Å, degrees): 5.8434 7.2670 7.1414 120.58 109.11 90.00
Positions (direct):
Pa: 0.0000 0.7361 0.0000
Pa: 0.0000 0.2639 0.0000
Pa: 0.5000 0.0000 0.0000
N: 0.3806 0.3232 0.2198
N: 0.9545 0.6045 0.2090
N: 0.0994 0.9050 0.8101
N: 0.6194 0.1034 0.7802
N: 0.9006 0.0950 0.1899
N: 0.0455 0.3955 0.7910
N: 0.3806 0.8966 0.2198
N: 0.6194 0.6768 0.7802
Ac: 0.6566 0.7152 0.4304
Ac: 0.3434 0.2848 0.5696

The following is a DFT calculation (PBE-GGA) of a relaxed structure of PrLu2Os.

## Properties
- E_form (eV/f.u.) = -0.90
- energy (eV per atom) = -6.49
- magnetization (μB/f.u.) = 0.00

Lattice parameters (Å, degrees): 3.3849 3.3849 9.0927 90.00 90.00 90.00
Positions (direct):
Lu: 0.0000 0.0000 0.8244
Lu: 0.0000 0.0000 0.1756
Pr: 0.5000 0.5000 0.5000
Os: 0.5000 0.5000 0.0000

The following is a DFT calculation (PBE-GGA) of a relaxed structure of ErSc2Ti.

## Properties
- E_form (eV/f.u.) = 0.56
- energy (eV per atom) = -6.14
- magnetization (μB/f.u.) = 1.81

Lattice parameters (Å, degrees): 3.5625 3.5625 7.6845 90.00 90.00 90.00
Last column: magnetic moment on the atom in μB.
Positions (direct):
Sc: 0.0000 0.0000 0.2063  0.19
Sc: 0.0000 0.0000 0.7937  0.19
Er: 0.5000 0.5000 0.5000  -0.06
Ti: 0.5000 0.5000 0.0000  1.00

The following is a DFT calculation (PBE-GGA) of a relaxed structure of Ca2MgAl2Si3O12.

## Properties
- energy (eV per atom) = -7.41
- magnetization (μB/f.u.) = 0.09
- E_form (uncorrected) (meV/atom) = -2963

Lattice parameters (Å, degrees): 5.3478 6.5896 6.5983 84.20 78.14 77.47
Positions (direct):
Mg: 0.7428 0.9082 0.0913
Si: 0.2274 0.6175 0.8072
Si: 0.7812 0.3830 0.1960
Si: 0.7213 0.8080 0.6221
Al: 0.2802 0.1884 0.3850
Al: 0.2457 0.0925 0.9126
O: 0.0039 0.3858 0.3363
O: 0.8835 0.1987 0.0273
O: 0.1761 0.1070 0.6442
O: 0.4958 0.6621 0.6367
O: 0.3505 0.0249 0.1775
O: 0.9931 0.6377 0.6692
O: 0.1432 0.8016 0.9692
O: 0.6814 0.6113 0.0936
O: 0.6186 0.9790 0.7989
O: 0.8078 0.8908 0.3876
O: 0.5262 0.3345 0.3717
O: 0.3142 0.3769 0.8875
Ca: 0.2516 0.6905 0.2967
Ca: 0.7552 0.3015 0.6895

The following is a DFT calculation (PBE-GGA) of a relaxed structure of Pu6Ru3Rh.

## Properties
- E_form (eV/f.u.) = 0.31
- energy (eV per atom) = -12.09
- magnetization (μB/f.u.) = 0.40

Lattice parameters (Å, degrees): 6.5917 6.5917 7.2383 62.91 62.91 60.00
Last column: magnetic moment on the atom in μB.
Positions (direct):
Pu: 0.3388 0.7512 0.7468  -4.96
Pu: 0.8437 0.6586 0.2475  5.02
Pu: 0.7512 0.1632 0.7468  -4.96
Pu: 0.1632 0.3388 0.7468  -4.96
Pu: 0.2502 0.8437 0.2475  5.02
Pu: 0.6586 0.2502 0.2475  5.02
Ru: 0.3275 0.3275 0.0176  0.41
Ru: 0.1755 0.1755 0.4735  0.39
Ru: 0.6723 0.6723 0.9832  -0.45
Rh: 0.8191 0.8191 0.5427  -0.17

The following is a DFT calculation (PBE-GGA) of a relaxed structure of PmAsIO4.

## Properties
- energy (eV per atom) = -6.25
- magnetization (μB/f.u.) = 0.00
- E_form (uncorrected) (meV/atom) = -1856

Lattice parameters (Å, degrees): 6.8203 6.8203 6.9478 79.75 79.75 57.20
Positions (direct):
As: 0.6345 0.6345 0.7443
As: 0.3655 0.3655 0.2557
O: 0.5093 0.5093 0.2285
O: 0.1171 0.5214 0.1258
O: 0.4907 0.4907 0.7715
O: 0.3000 0.3000 0.4962
O: 0.5214 0.1171 0.1258
O: 0.4786 0.8829 0.8742
O: 0.7000 0.7000 0.5038
O: 0.8829 0.4786 0.8742
Pm: 0.2989 0.2989 0.8231
Pm: 0.7011 0.7011 0.1769
I: 0.0308 0.0308 0.3045
I: 0.9692 0.9692 0.6955

The following is a DFT calculation (PBE-GGA) of a relaxed structure of Tm2Co2Ni15.

## Properties
- E_form (eV/f.u.) = -3.66
- energy (eV per atom) = -5.98
- magnetization (μB/f.u.) = 9.67

Lattice parameters (Å, degrees): 6.2342 6.2342 6.2342 82.75 82.75 82.75
Last column: magnetic moment on the atom in μB.
Positions (direct):
Co: 0.0934 0.0934 0.0934  1.75
Co: 0.9066 0.9066 0.9066  1.75
Ni: 0.0000 0.5000 0.0000  0.53
Ni: 0.0000 0.0000 0.5000  0.53
Ni: 0.0000 0.7021 0.2979  0.43
Ni: 0.7021 0.0000 0.2979  0.43
Ni: 0.6556 0.1540 0.6556  0.48
Ni: 0.5000 0.0000 0.0000  0.53
Ni: 0.8460 0.3444 0.3444  0.48
Ni: 0.6556 0.6556 0.1540  0.48
Ni: 0.2979 0.0000 0.7021  0.43
Ni: 0.3444 0.3444 0.8460  0.48
Ni: 0.0000 0.2979 0.7021  0.43
Ni: 0.2979 0.7021 0.0000  0.43
Ni: 0.1540 0.6556 0.6556  0.48
Ni: 0.7021 0.2979 0.0000  0.43
Ni: 0.3444 0.8460 0.3444  0.48
Tm: 0.3412 0.3412 0.3412  -0.15
Tm: 0.6588 0.6588 0.6588  -0.15

The following is a DFT calculation (PBE-GGA) of a relaxed structure of Ce3Au5Se12.

## Properties
- energy (eV per atom) = -4.44
- magnetization (μB/f.u.) = 0.00
- E_form (uncorrected) (meV/atom) = -636

Lattice parameters (Å, degrees): 13.9477 13.9477 13.9477 109.47 109.47 109.47
Positions (direct):
Ce: 0.2500 0.1250 0.3750
Ce: 0.8750 0.1250 0.2500
Ce: 0.7500 0.8750 0.6250
Ce: 0.1250 0.8750 0.7500
Ce: 0.8750 0.7500 0.1250
Ce: 0.7500 0.3750 0.1250
Ce: 0.2500 0.6250 0.8750
Ce: 0.1250 0.2500 0.8750
Ce: 0.6250 0.3750 0.7500
Ce: 0.6250 0.2500 0.3750
Ce: 0.3750 0.6250 0.2500
Ce: 0.3750 0.7500 0.6250
Se: 0.6310 0.0455 0.2150
Se: 0.8690 0.5841 0.9145
Se: 0.1310 0.7150 0.5455
Se: 0.9545 0.3690 0.2850
Se: 0.3305 0.5455 0.4145
Se: 0.5855 0.9545 0.6695
Se: 0.0855 0.1695 0.4545
Se: 0.3305 0.7850 0.4159
Se: 0.9159 0.8305 0.7850
Se: 0.6695 0.4545 0.5855
Se: 0.5841 0.7150 0.6695
Se: 0.8690 0.2850 0.4545
Se: 0.0841 0.1695 0.2150
Se: 0.1695 0.0841 0.7150
Se: 0.4145 0.3690 0.5841
Se: 0.3690 0.4145 0.0841
Se: 0.9159 0.0855 0.6310
Se: 0.0455 0.4145 0.8305
Se: 0.4545 0.6695 0.0855
Se: 0.1310 0.4159 0.0855
Se: 0.9145 0.0841 0.8690
Se: 0.3690 0.9545 0.7850
Se: 0.7850 0.3305 0.9159
Se: 0.2850 0.4159 0.8305
Se: 0.2850 0.8690 0.9545
Se: 0.5855 0.6310 0.4159
Se: 0.4545 0.7850 0.8690
Se: 0.0855 0.9159 0.1310
Se: 0.5455 0.2150 0.1310
Se: 0.8305 0.9145 0.0455
Se: 0.0841 0.9145 0.3690
Se: 0.9145 0.8305 0.5455
Se: 0.0455 0.6310 0.7150
Se: 0.4159 0.1310 0.5855
Se: 0.6310 0.5855 0.9159
Se: 0.6695 0.2150 0.5841
Se: 0.2150 0.6695 0.0841
Se: 0.7150 0.1310 0.0455
Se: 0.4159 0.2850 0.3305
Se: 0.7150 0.5841 0.1695
Se: 0.1695 0.0855 0.9545
Se: 0.5841 0.8690 0.4145
Se: 0.9545 0.5855 0.1695
Se: 0.8305 0.9159 0.2850
Se: 0.4145 0.0455 0.3305
Se: 0.2150 0.5455 0.6310
Se: 0.5455 0.3305 0.9145
Se: 0.7850 0.4545 0.3690
Au: 0.7500 0.1250 0.8750
Au: 0.3750 0.2500 0.1250
Au: 0.6250 0.8750 0.2500
Au: 0.8750 0.6250 0.7500
Au: 0.7500 0.6250 0.3750
Au: 0.2500 0.3750 0.6250
Au: 0.1250 0.3750 0.2500
Au: 0.5000 0.0000 0.0000
Au: 0.6250 0.7500 0.8750
Au: 0.0000 0.0000 0.0000
Au: 0.2500 0.8750 0.1250
Au: 0.0000 0.0000 0.5000
Au: 0.8750 0.2500 0.6250
Au: 0.3750 0.1250 0.7500
Au: 0.1250 0.7500 0.3750
Au: 0.5000 0.5000 0.5000
Au: 0.0000 0.5000 0.0000
Au: 0.0000 0.5000 0.5000
Au: 0.5000 0.0000 0.5000
Au: 0.5000 0.5000 0.0000

The following is a DFT calculation (PBE-GGA) of a relaxed structure of HoAsP2Rh5.

## Properties
- E_form (eV/f.u.) = -6.41
- energy (eV per atom) = -7.02
- magnetization (μB/f.u.) = 0.00

Lattice parameters (Å, degrees): 3.9766 3.9766 9.9618 90.00 90.00 90.00
Positions (direct):
Rh: 0.0000 0.5000 0.1556
Rh: 0.0000 0.5000 0.8444
Rh: 0.5000 0.0000 0.1556
Rh: 0.5000 0.0000 0.8444
Rh: 0.5000 0.5000 0.5000
P: 0.5000 0.5000 0.2730
P: 0.5000 0.5000 0.7270
Ho: 0.0000 0.0000 0.5000
As: 0.0000 0.0000 0.0000

The following is a DFT calculation (PBE-GGA) of a relaxed structure of TePtO2F.

## Properties
- energy (eV per atom) = -4.22
- magnetization (μB/f.u.) = 0.00
- E_form (uncorrected) (meV/atom) = -23

Lattice parameters (Å, degrees): 4.0977 4.0977 4.2849 90.00 90.00 90.00
Positions (direct):
Pt: 0.0000 0.0000 0.0000
F: 0.0000 0.0000 0.5000
Te: 0.5000 0.5000 0.5000
O: 0.5000 0.0000 0.0000
O: 0.0000 0.5000 0.0000

The following is a DFT calculation (PBE-GGA) of a relaxed structure of Tb2ZnPb.

## Properties
- E_form (eV/f.u.) = -1.57
- energy (eV per atom) = -3.95
- magnetization (μB/f.u.) = 0.00

Lattice parameters (Å, degrees): 3.6639 3.6639 7.6334 90.00 90.00 90.00
Positions (direct):
Zn: 0.5000 0.5000 0.0000
Tb: 0.0000 0.0000 0.7729
Tb: 0.0000 0.0000 0.2271
Pb: 0.5000 0.5000 0.5000